Density functional theory data (PBE) for a geometry-optimized NaTb4Te5 structure.

Formation energy without anion corrections (kJ/mol of atoms): -127.6
SG: Immm, No. 71
Magnetic moment (μB/atom): 0.000
Fermi-level density of states (states/eV per cell): 2.61

Unit cell a=11.675 b=11.675 c=11.675 alpha=158.24 beta=149.26 gamma=37.98
Atoms (fractional coordinates):
Na  0.000  0.000  0.000
Tb  0.205  0.205  0.000
Tb  0.399  0.399  0.000
Tb  0.601  0.601  0.000
Tb  0.795  0.795  0.000
Te  0.104  0.604  0.500
Te  0.302  0.802  0.500
Te  0.500  0.000  0.500
Te  0.698  0.198  0.500
Te  0.896  0.396  0.500



Density functional theory data (PBE) for a geometry-optimized Tl2SbCl structure.

Formation energy without anion corrections (kJ/mol of atoms): -33.0
SG: P4/mmm, No. 123
Magnetic moment (μB/atom): 0.000
Fermi-level density of states (states/eV per cell): 1.24
ΔE to the lowest computed polymorph (meV per atom): 11.0

Unit cell a=3.520 b=3.520 c=9.525 alpha=90.00 beta=90.00 gamma=90.00
Atoms (fractional coordinates):
Tl  0.000  0.000  0.221
Tl  0.000  0.000  0.779
Sb  0.500  0.500  0.500
Cl  0.500  0.500  0.000



Density functional theory data (PBE) for a geometry-optimized Nd2Y3Os2 structure.

ΔH_f (0 K) (eV per formula unit): -1.1
SG: C2/m, No. 12
Magnetic moment (μB/atom): 0.000
Fermi-level density of states (states/eV per cell): 5.11

Unit cell a=6.407 b=6.407 c=8.647 alpha=112.88 beta=112.88 gamma=36.06
Atoms (fractional coordinates):
Nd  0.164  0.164  0.305
Nd  0.836  0.836  0.695
Y  0.375  0.375  0.074
Y  0.500  0.500  0.500
Y  0.625  0.625  0.926
Os  0.176  0.176  0.722
Os  0.824  0.824  0.278



Density functional theory data (PBE) for a geometry-optimized ZrAgCl2 structure.

Formation energy without anion corrections (kJ/mol of atoms): -82.1
SG: C2/m, No. 12
Magnetic moment (μB/atom): 0.032
Fermi-level density of states (states/eV per cell): 2.44
ΔE to the lowest computed polymorph (meV per atom): 72.3

Unit cell a=7.400 b=7.400 c=5.185 alpha=110.37 beta=110.37 gamma=24.79
Atoms (fractional coordinates):
Zr  0.000  0.000  0.000
Ag  0.500  0.500  0.500
Cl  0.350  0.350  0.851
Cl  0.650  0.650  0.149